# 1
VASP calculation (PBE) on Li2TcBi after structural relaxation.

Properties
Space-group type ... I-42d (122)
DOS(E_F) ... 0.00 states/eV/atom
Uncorrected energy ... -4.058 eV per atom

The structure in POSCAR format:
```
Li2TcBi
1.0
-3.6833 3.6833 2.6665
3.6833 -3.6833 2.6665
3.6833 3.6833 -2.6665
Li Tc Bi
4 2 2
Direct
0.1073 0.6250 0.9823
0.3750 0.3573 0.4823
0.6427 0.1250 0.0177
0.8750 0.8927 0.5177
0.0000 0.0000 0.0000
0.7500 0.2500 0.5000
0.2500 0.7500 0.5000
0.5000 0.5000 0.0000
```

# 2
VASP calculation (PBE) on Pm7YCd4 after structural relaxation.

Properties
Space-group type ... C2/m (12)
DOS(E_F) ... 1.21 states/eV/atom
Uncorrected energy ... -3.635 eV per atom

The structure in POSCAR format:
```
Pm7YCd4
1.0
7.5049 -2.9094 0.0000
7.5049 2.9094 0.0000
-5.3212 0.0000 8.4548
Pm Y Cd
7 1 4
Direct
0.0000 0.0000 0.0000
0.2360 0.2360 0.6918
0.2941 0.2941 0.1170
0.4305 0.4305 0.5907
0.5695 0.5695 0.4093
0.7059 0.7059 0.8830
0.7640 0.7640 0.3082
0.5000 0.5000 0.0000
0.0419 0.0419 0.7161
0.1811 0.1811 0.3426
0.8189 0.8189 0.6574
0.9581 0.9581 0.2839
```

# 3
VASP calculation (PBE) on Sm8Ho2Er after structural relaxation.

Properties
Space-group type ... C2/m (12)
DOS(E_F) ... 1.42 states/eV/atom
Uncorrected energy ... -4.468 eV per atom
Relative energy among the computed polymorphs ... 0.039 eV/atom

The structure in POSCAR format:
```
Sm8Ho2Er
1.0
7.0825 -3.3669 0.0000
7.0825 3.3669 0.0000
-3.3366 0.0000 7.8141
Sm Ho Er
8 2 1
Direct
0.1082 0.1082 0.9910
0.1519 0.6706 0.6213
0.2426 0.2426 0.7692
0.3294 0.8481 0.3787
0.6706 0.1519 0.6213
0.7574 0.7574 0.2308
0.8481 0.3294 0.3787
0.8918 0.8918 0.0090
0.3512 0.3512 0.2429
0.6488 0.6488 0.7571
0.5000 0.5000 0.0000
```